# PBE Mg3Cd7, relaxed
# Space group   No. 12
# Density   6.5 g/cm³
# ΔE_f   -0.07 eV/atom
# Calculated total energy   -11.885 eV per formula unit
data_Mg3Cd7
_space_group_name_H-M_alt 'P 1'
_space_group_IT_number 1
_space_group_name_Hall 'P 1'
_cell_length_a 4.4405
_cell_length_b 6.2110
_cell_length_c 8.4807
_cell_angle_alpha 102.37
_cell_angle_beta 105.18
_cell_angle_gamma 90.00
loop_
_atom_site_label
_atom_site_type_symbol
_atom_site_fract_x
_atom_site_fract_y
_atom_site_fract_z
Cd1 Cd 0.6006 0.8053 0.2012
Cd2 Cd 0.7988 0.8908 0.5976
Cd3 Cd 0.3980 0.6958 0.7961
Cd4 Cd 0.3994 0.1947 0.7988
Cd5 Cd 0.6020 0.3042 0.2039
Cd6 Cd 0.2012 0.1092 0.4024
Cd7 Cd 0.0000 0.5000 0.0000
Mg1 Mg 0.8034 0.3975 0.6068
Mg2 Mg 0.1966 0.6025 0.3932
Mg3 Mg 0.0000 0.0000 0.0000

---

# PBE MgCd, relaxed
# Space group   No. 123
# Density   5.2 g/cm³
# ΔE_f   -0.10 eV/atom
# Calculated total energy   -2.711 eV per formula unit
data_MgCd
_space_group_name_H-M_alt 'P 1'
_space_group_IT_number 1
_space_group_name_Hall 'P 1'
_cell_length_a 3.2851
_cell_length_b 3.2851
_cell_length_c 4.0125
_cell_angle_alpha 90.00
_cell_angle_beta 90.00
_cell_angle_gamma 90.00
loop_
_atom_site_label
_atom_site_type_symbol
_atom_site_fract_x
_atom_site_fract_y
_atom_site_fract_z
Cd1 Cd 0.5000 0.5000 0.0000
Mg1 Mg 0.0000 0.0000 0.5000

---

# PBE MgCd5, relaxed
# Space group   No. 8
# Density   7.3 g/cm³
# ΔE_f   -0.04 eV/atom
# Calculated total energy   -6.403 eV per formula unit
data_MgCd5
_space_group_name_H-M_alt 'P 1'
_space_group_IT_number 1
_space_group_name_Hall 'P 1'
_cell_length_a 6.3529
_cell_length_b 6.3529
_cell_length_c 12.7832
_cell_angle_alpha 144.10
_cell_angle_beta 144.10
_cell_angle_gamma 28.15
loop_
_atom_site_label
_atom_site_type_symbol
_atom_site_fract_x
_atom_site_fract_y
_atom_site_fract_z
Cd1 Cd 0.3325 0.3325 0.6617
Cd2 Cd 0.4452 0.4452 0.3936
Cd3 Cd 0.6596 0.6596 0.3232
Cd4 Cd 0.1139 0.1139 0.7311
Cd5 Cd 0.9996 0.9996 0.9924
Mg1 Mg 0.7826 0.7826 0.0647

---

> The highest density belongs to which entry?

MgCd5

---

> Among the records above, which one has the highest density?

MgCd5

---

Please write out number 3 again, unchanged.
# PBE MgCd5, relaxed
# Space group   No. 8
# Density   7.3 g/cm³
# ΔE_f   -0.04 eV/atom
# Calculated total energy   -6.403 eV per formula unit
data_MgCd5
_space_group_name_H-M_alt 'P 1'
_space_group_IT_number 1
_space_group_name_Hall 'P 1'
_cell_length_a 6.3529
_cell_length_b 6.3529
_cell_length_c 12.7832
_cell_angle_alpha 144.10
_cell_angle_beta 144.10
_cell_angle_gamma 28.15
loop_
_atom_site_label
_atom_site_type_symbol
_atom_site_fract_x
_atom_site_fract_y
_atom_site_fract_z
Cd1 Cd 0.3325 0.3325 0.6617
Cd2 Cd 0.4452 0.4452 0.3936
Cd3 Cd 0.6596 0.6596 0.3232
Cd4 Cd 0.1139 0.1139 0.7311
Cd5 Cd 0.9996 0.9996 0.9924
Mg1 Mg 0.7826 0.7826 0.0647

---

> What is the formula in the first record?

Mg3Cd7